Compound: LaIn2Fe
Source: Alexandria via LeMat-Bulk
Functional: PBE
Structure: relaxed

Total magnetization = 1.97 μB/cell
Symmetry = P4mm, No. 99
ΔE_f = 19.9 kJ/mol of formula units
D(E_F) = 4.7 states/eV per cell

abc: 3.4859 3.4859 7.8570
angles: 90.00 90.00 90.00
Last column: nearest neighbours and their distance in Å.
Fractional coordinates of all 4 atoms:
La  0.0000  0.0000  0.0000  4 Fe 3.17, 5 In 3.25-3.54, 4 La 3.49
In  0.0000  0.0000  0.4141  4 Fe 2.77
In  0.5000  0.5000  0.6768  8 In 3.22-3.49, 1 Fe 3.33, 4 La 3.54
Fe  0.5000  0.5000  0.2531  4 In 2.77

=====

Compound: KCo2Pb
Source: Alexandria via LeMat-Bulk
Functional: PBE
Structure: relaxed

Total magnetization = 3.25 μB/cell
Symmetry = Immm, No. 71
ΔE_f = 339.9 kJ/mol of formula units
D(E_F) = 5.5 states/eV per cell

abc: 5.1277 5.1277 5.1277
angles: 122.95 111.85 94.81
Last column: nearest neighbours and their distance in Å.
Fractional coordinates of all 4 atoms:
K  0.0000  0.0000  0.0000  8 Co 3.07-3.41
Co  0.3422  0.8422  0.5000  1 Co 2.19
Co  0.6578  0.1578  0.5000  1 Co 2.19
Pb  0.5000  0.5000  0.0000  4 Co 2.68

=====

Look up the ΔE_f of the first one. 19.9 kJ/mol of formula units

=====

What did the second record say?
Compound: KCo2Pb
Source: Alexandria via LeMat-Bulk
Functional: PBE
Structure: relaxed

Total magnetization = 3.25 μB/cell
Symmetry = Immm, No. 71
ΔE_f = 339.9 kJ/mol of formula units
D(E_F) = 5.5 states/eV per cell

abc: 5.1277 5.1277 5.1277
angles: 122.95 111.85 94.81
Last column: nearest neighbours and their distance in Å.
Fractional coordinates of all 4 atoms:
K  0.0000  0.0000  0.0000  8 Co 3.07-3.41
Co  0.3422  0.8422  0.5000  1 Co 2.19
Co  0.6578  0.1578  0.5000  1 Co 2.19
Pb  0.5000  0.5000  0.0000  4 Co 2.68

=====

The lowest ΔE_f belongs to which entry? LaIn2Fe

=====

Among the records above, which one has the highest ΔE_f? KCo2Pb